No. 1
A relaxed structure of ZrTi3V, computed with GGA-PBE.

Properties
- Crystal system: cubic
- DFT formation energy: 1358.3 meV/atom
- Fermi-level density of states: 9.8 states/eV/cell

a = 4.773 Å, b = 4.773 Å, c = 4.773 Å
α = 90.00°, β = 90.00°, γ = 90.00°
Space group Pm-3m (No. 221)
Unique sites:
Zr 0.000 0.000 0.000
Ti 0.000 0.000 0.500
V 0.500 0.500 0.500

No. 2
A relaxed structure of Zr2TiV, computed with GGA-PBE.

Properties
- Crystal system: tetragonal
- DFT formation energy: 137.0 meV/atom
- Fermi-level density of states: 5.2 states/eV/cell

a = 4.757 Å, b = 4.757 Å, c = 3.471 Å
α = 90.00°, β = 90.00°, γ = 90.00°
Space group P4/mmm (No. 123)
Unique sites:
Zr 0.000 0.500 0.000
Ti 0.000 0.000 0.500
V 0.500 0.500 0.500

No. 3
A relaxed structure of Zr5Ti12V3, computed with GGA-PBE.

Properties
- Crystal system: cubic
- DFT formation energy: 1193.6 meV/atom
- Fermi-level density of states: 246.1 states/eV/cell

a = 15.248 Å, b = 15.248 Å, c = 15.248 Å
α = 90.00°, β = 90.00°, γ = 90.00°
Space group Ia-3d (No. 230)
Unique sites:
Zr 0.000 0.000 0.000
Zr 0.000 0.250 0.375
Ti 0.009 0.097 0.644
V 0.000 0.250 0.125

No. 4
A relaxed structure of ZrTi2V, computed with GGA-PBE.

Properties
- Crystal system: tetragonal
- DFT formation energy: 188.6 meV/atom
- Fermi-level density of states: 7.2 states/eV/cell

a = 3.983 Å, b = 3.983 Å, c = 4.522 Å
α = 90.00°, β = 90.00°, γ = 90.00°
Space group P4/mmm (No. 123)
Unique sites:
Zr 0.000 0.000 0.000
Ti 0.000 0.500 0.500
V 0.500 0.500 0.000

No. 5
A relaxed structure of ZrTi2V2, computed with GGA-PBE.

Properties
- Crystal system: tetragonal
- DFT formation energy: 272.5 meV/atom
- Fermi-level density of states: 9.1 states/eV/cell

a = 3.857 Å, b = 3.857 Å, c = 11.783 Å
α = 90.00°, β = 90.00°, γ = 90.00°
Space group I4/mmm (No. 139)
Unique sites:
Zr 0.000 0.000 0.000
Ti 0.000 0.500 0.250
V 0.000 0.000 0.408

No. 6
A relaxed structure of Zr2TiV, computed with GGA-PBE.

Properties
- Crystal system: trigonal
- DFT formation energy: 447.0 meV/atom
- Fermi-level density of states: 17.9 states/eV/cell

a = 2.9945 Å, b = 2.9945 Å, c = 30.5774 Å
α = 90.00°, β = 90.00°, γ = 120.00°
Space group R-3m (No. 166, hexagonal axes)
Unique sites:
Zr 0.0000 0.0000 0.0859
Ti 0.0000 0.0000 0.5000
V 0.0000 0.0000 0.0000